Entry 1:
First-principles (SCAN) data for BaSc2Pb at its PBEsol-relaxed geometry, as listed in Alexandria.

## Properties
- N(E_F): 1.010 states/eV/atom
- Calculated formation energy: -0.842 eV per formula unit
- E: -36.162 eV per atom
- SG: P4mm (99)

a = 3.736 Å, b = 3.736 Å, c = 8.652 Å
α = 90.00°, β = 90.00°, γ = 90.00°
Each line ends with the local moment (μB).
Fractional coordinates of all 4 atoms:
Ba  0.000  0.000  0.518  0.12
Pb  0.500  0.500  0.805  0.01
Sc  0.000  0.000  0.990  0.33
Sc  0.500  0.500  0.188  0.49



Entry 2:
First-principles (SCAN) data for ReHgBr2 at its PBEsol-relaxed geometry, as listed in Alexandria.

## Properties
- N(E_F): 0.298 states/eV/atom
- E: -43.250 eV per atom
- ΔE to the lowest computed polymorph: 915 meV per atom
- SG: F-43m (216)
- Uncorrected formation energy: 1.296 eV per atom

a = 5.039 Å, b = 5.039 Å, c = 5.039 Å
α = 60.00°, β = 60.00°, γ = 60.00°
Each line ends with the local moment (μB).
Fractional coordinates of all 4 atoms:
Re  0.250  0.250  0.250  3.51
Hg  0.500  0.500  0.500  0.07
Br  0.000  0.000  0.000  0.18
Br  0.750  0.750  0.750  0.16



Entry 3:
First-principles (SCAN) data for LaCePt2 at its PBEsol-relaxed geometry, as listed in Alexandria.

## Properties
- N(E_F): 1.129 states/eV/atom
- Calculated formation energy: -5.270 eV per formula unit
- E: -58.331 eV per atom
- SG: Amm2 (38)

a = 3.845 Å, b = 4.400 Å, c = 5.843 Å
α = 90.00°, β = 109.21°, γ = 90.00°
Each line ends with the local moment (μB).
Fractional coordinates of all 4 atoms:
Ce  0.133  0.000  0.266  0.64
Pt  0.410  0.000  0.820  -0.01
Pt  0.595  0.500  0.190  -0.03
La  0.862  0.500  0.724  0.01